(1)
VASP calculation (PBE+U) on a relaxed UFeBiO6 crystal.

extended XYZ file:
```
18
Lattice="5.327 0.000 0.000 -2.664 4.614 0.000 0.000 0.000 10.146" Properties=species:S:1:pos:R:3 pbc="T T T"
U 0.000 3.076 2.537
U 2.664 1.538 7.610
Fe 0.000 3.076 7.610
Fe 2.664 1.538 2.537
Bi 0.000 0.000 0.000
Bi 0.000 0.000 5.073
O -0.895 1.689 6.503
O -1.649 2.994 8.717
O 0.895 1.689 8.717
O -0.753 4.545 6.503
O 1.910 0.069 1.430
O 1.015 1.620 3.644
O 1.649 2.994 6.503
O 0.753 4.545 8.717
O 3.417 0.069 3.644
O 1.768 2.925 1.430
O 4.313 1.620 1.430
O 3.559 2.925 3.644
```

Summary:
As for the space group: P-31c (163). The size of the total moment is 2.0 Bohr magnetons per cell.

=====

(2)
VASP calculation (PBE+U) on a relaxed UFe2BiO6 crystal.

extended XYZ file:
```
20
Lattice="5.714 0.000 0.000 0.000 5.702 0.000 -5.604 0.000 8.423" Properties=species:S:1:pos:R:3 pbc="T T T"
U 0.000 0.000 0.000
U -2.802 2.851 4.211
Fe -2.650 0.146 6.383
Fe 0.152 2.704 2.171
Fe -0.042 2.997 6.251
Fe 2.760 5.555 2.040
Bi 0.055 0.000 4.211
Bi 2.857 2.851 0.000
O -2.027 1.016 3.484
O -4.829 1.835 7.695
O -0.934 3.684 3.624
O -3.736 4.868 7.836
O 0.802 0.715 2.016
O -2.000 2.136 6.228
O 2.110 3.565 2.195
O -0.692 4.987 6.406
O 3.846 0.833 0.587
O 1.044 2.017 4.798
O 4.939 3.866 0.728
O 2.137 4.686 4.939
```

Summary:
As for the space group: P2_1/c (14). The size of the total moment is 14.0 Bohr magnetons per cell.

=====

We obtain calculated volume values of 13.855; 13.720 Å³ per atom for the records listed above, in that order.
We obtain total energy values of -134.37; -151.19 eV/cell for the records listed above, in that order.
We obtain calculated density values of 7.975; 7.924 Mg/m³ for the records listed above, in that order.